# 1
VASP calculation (PBE) on a relaxed structure of LaMoW4.

Unit cell a=5.463 b=5.463 c=5.463 alpha=60.00 beta=60.00 gamma=60.00
Positions (direct):
La: 0.000 0.000 0.000
Mo: 0.750 0.750 0.750
W: 0.375 0.375 0.375
W: 0.375 0.375 0.874
W: 0.375 0.874 0.375
W: 0.874 0.375 0.375

Results
E_form, meV per atom: 531.6
Size of the total moment, μB per formula unit: 0.0


# 2
VASP calculation (PBE) on a relaxed structure of LaMoW2.

Unit cell a=3.197 b=3.197 c=7.804 alpha=90.00 beta=90.00 gamma=90.00
Positions (direct):
La: 0.000 0.000 0.000
Mo: 0.500 0.500 0.311
W: 0.000 0.000 0.502
W: 0.500 0.500 0.694

Results
E_form, meV per atom: 453.5
Size of the total moment, μB per formula unit: 0.0
Energy above the most stable polymorph in this dataset, meV/atom: 13


# 3
VASP calculation (PBE) on a relaxed structure of LaMoW2.

Unit cell a=4.719 b=4.719 c=4.719 alpha=60.00 beta=60.00 gamma=60.00
Positions (direct):
La: 0.000 0.000 0.000
Mo: 0.500 0.500 0.500
W: 0.250 0.250 0.250
W: 0.750 0.750 0.750

Results
E_form, meV per atom: 724.7
Size of the total moment, μB per formula unit: 0.0
Energy above the most stable polymorph in this dataset, meV/atom: 284


# 4
VASP calculation (PBE) on a relaxed structure of LaMoW2.

Unit cell a=4.717 b=4.717 c=4.717 alpha=60.00 beta=60.00 gamma=60.00
Positions (direct):
La: 0.000 0.000 0.000
Mo: 0.250 0.250 0.250
W: 0.500 0.500 0.500
W: 0.750 0.750 0.750

Results
E_form, meV per atom: 633.1
Size of the total moment, μB per formula unit: 0.0
Energy above the most stable polymorph in this dataset, meV/atom: 192


# 5
VASP calculation (PBE) on a relaxed structure of LaMoW2.

Unit cell a=5.765 b=5.765 c=2.769 alpha=90.00 beta=90.00 gamma=123.95
Positions (direct):
La: 0.000 0.000 0.000
Mo: 0.500 0.500 0.000
W: 0.000 0.500 0.500
W: 0.500 0.000 0.500

Results
E_form, meV per atom: 860.3
Size of the total moment, μB per formula unit: 0.0
Energy above the most stable polymorph in this dataset, meV/atom: 420


# 6
VASP calculation (PBE) on a relaxed structure of LaMo2W.

Unit cell a=5.476 b=5.476 c=2.877 alpha=101.98 beta=101.98 gamma=112.23
Positions (direct):
La: 0.000 0.000 0.000
Mo: 0.000 0.500 0.500
Mo: 0.500 0.000 0.500
W: 0.500 0.500 0.000

Results
E_form, meV per atom: 653.5
Size of the total moment, μB per formula unit: 0.0
Energy above the most stable polymorph in this dataset, meV/atom: 254


Copy entry 1 word for word.
VASP calculation (PBE) on a relaxed structure of LaMoW4.

Unit cell a=5.463 b=5.463 c=5.463 alpha=60.00 beta=60.00 gamma=60.00
Positions (direct):
La: 0.000 0.000 0.000
Mo: 0.750 0.750 0.750
W: 0.375 0.375 0.375
W: 0.375 0.375 0.874
W: 0.375 0.874 0.375
W: 0.874 0.375 0.375

Results
E_form, meV per atom: 531.6
Size of the total moment, μB per formula unit: 0.0


- Which formula does entry 2 have?
  LaMoW2


- Which value of E_form does entry 1 give?
  531.6 meV per atom


- E_form of number 4 (LaMoW2)?
  633.1 meV per atom